[1]
DFT (GGA-PBE) results for a relaxed ThMg3Pb crystal.

## Properties
formation energy from the elements: 0.434 eV per atom

abc: 5.8438 5.8438 20.4351
angles: 90.00 90.00 90.00
Last column: nearest neighbours and their distance in Å.
Space group I-4m2 (No. 119)
Asymmetric unit:
Th: 0.0000 0.0000 0.2053 [4 per cell]  2 Pb 3.06
Mg: 0.0000 0.2490 0.6233 [8 per cell]  2 Mg 2.91-2.93, 2 Pb 2.91-2.98
Mg: 0.0000 0.5000 0.1084 [4 per cell]  4 Mg 3.28, 2 Th 3.53, 2 Pb 3.67
Pb: 0.0000 0.0000 0.5000 [2 per cell]  4 Mg 2.91
Pb: 0.0000 0.5000 0.7500 [2 per cell]  4 Mg 2.98, 4 Th 3.06

***

[2]
DFT (GGA-PBE) results for a relaxed Ba12Pd5O2 crystal.

## Properties
uncorrected formation energy: -0.770 eV/atom

abc: 18.0545 8.2929 10.0260
angles: 90.00 105.88 90.00
Last column: nearest neighbours and their distance in Å.
Space group C2/m (No. 12)
Asymmetric unit:
Ba: 0.0005 0.0000 0.3056 [4 per cell]  2 O 2.83
Ba: 0.0067 0.5000 0.3159 [4 per cell]  2 O 2.82, 1 Pd 3.14
Ba: 0.1510 0.2544 0.0700 [8 per cell]  4 Pd 3.29-3.49
Ba: 0.1661 0.2442 0.5901 [8 per cell]  1 O 2.89, 1 Pd 3.19
Pd: 0.0000 0.5000 0.0000 [2 per cell]  6 Ba 3.14-3.32
Pd: 0.1811 0.0000 0.3426 [4 per cell]  7 Ba 3.18-3.40
Pd: 0.1860 0.0000 0.8434 [4 per cell]  7 Ba 3.19-3.49
O: 0.0000 0.2472 0.5000 [4 per cell]  6 Ba 2.82-2.89

***

[3]
DFT (GGA-PBE) results for a relaxed SrFeI5 crystal.

## Properties
uncorrected formation energy: -0.768 eV/atom

abc: 12.1625 11.3683 11.9197
angles: 90.00 119.44 90.00
Last column: nearest neighbours and their distance in Å.
Space group C2/c (No. 15)
Asymmetric unit:
Sr: 0.0000 0.0000 0.0000 [4 per cell]  6 I 3.20-3.38
Fe: 0.0000 0.4076 0.2500 [4 per cell]  4 I 2.56
I: 0.0000 0.1014 0.7500 [4 per cell]  2 Sr 3.20
I: 0.0298 0.2868 0.4439 [8 per cell]  1 Fe 2.56
I: 0.1876 0.4516 0.8228 [8 per cell]  1 Fe 2.56

***

[4]
DFT (GGA-PBE) results for a relaxed NdDyHoIn crystal.

## Properties
E above lowest polymorph: 4.5 kJ per mole of atoms
formation energy from the elements: -0.093 eV per atom

abc: 7.7606 7.7606 7.7606
angles: 90.00 90.00 90.00
Last column: nearest neighbours and their distance in Å.
Space group F-43m (No. 216)
Asymmetric unit:
Nd: 0.0000 0.0000 0.0000 [4 per cell]  4 Dy 3.36, 4 Ho 3.36
Dy: 0.2500 0.2500 0.2500 [4 per cell]  4 In 3.36, 4 Nd 3.36
Ho: 0.2500 0.2500 0.7500 [4 per cell]  4 In 3.36, 4 Nd 3.36
In: 0.0000 0.0000 0.5000 [4 per cell]  4 Dy 3.36, 4 Ho 3.36

***

[5]
DFT (GGA-PBE) results for a relaxed CaAsSe2 crystal.

## Properties
uncorrected formation energy: -0.527 eV/atom

abc: 4.2111 4.2111 24.6609
angles: 90.00 90.00 120.00
Last column: nearest neighbours and their distance in Å.
Space group R-3m (No. 166, hexagonal axes)
Asymmetric unit:
Ca: 0.0000 0.0000 0.0000 [3 per cell]  6 Se 2.93
As: 0.0000 0.0000 0.5000 [3 per cell]  2 Se 2.47
Se: 0.0000 0.0000 0.3997 [6 per cell]  1 As 2.47

***

[6]
DFT (GGA-PBE) results for a relaxed Mn3NbGe crystal.

## Properties
E above lowest polymorph: 47.8 kJ per mole of atoms
formation energy from the elements: 1.325 eV per atom

abc: 4.6823 4.6823 4.6823
angles: 90.00 90.00 90.00
Last column: nearest neighbours and their distance in Å.
Space group Pm-3m (No. 221)
Asymmetric unit:
Mn: 0.0000 0.0000 0.5000 [3 per cell]  2 Nb 2.34
Nb: 0.0000 0.0000 0.0000 [1 per cell]  6 Mn 2.34
Ge: 0.5000 0.5000 0.5000 [1 per cell]  12 Mn 3.31